(1)
VASP calculation (PBE-GGA) on Ce2NdP2Rh7 after structural relaxation.

## Properties
energy of formation from the pure elements = -0.92 eV/atom
N(E_F) = 0.8256 states/eV/atom

a = 4.0719 Å, b = 25.8468 Å, c = 4.0430 Å
α = 90.00°, β = 90.00°, γ = 90.00°
Space group Cmmm (No. 65)
One atom of each set of equivalent atoms:
Ce (0.0000, 0.1779, 0.0000) x4
Nd (0.0000, 0.0000, 0.0000) x2
P (0.0000, 0.3705, 0.5000) x4
Rh (0.0000, 0.0863, 0.5000) x4
Rh (0.0000, 0.2818, 0.5000) x4
Rh (0.0000, 0.4138, 0.0000) x4
Rh (0.0000, 0.5000, 0.5000) x2


(2)
VASP calculation (PBE-GGA) on In2HgAuI after structural relaxation.

## Properties
N(E_F) = 0.2962 states/eV/atom
uncorrected formation energy = -0.191 eV per atom

a = 5.4829 Å, b = 5.4829 Å, c = 5.4130 Å
α = 90.00°, β = 90.00°, γ = 90.00°
Space group P4/mmm (No. 123)
One atom of each set of equivalent atoms:
In (0.0000, 0.5000, 0.0000) x2
Hg (0.0000, 0.0000, 0.5000) x1
Au (0.0000, 0.0000, 0.0000) x1
I (0.5000, 0.5000, 0.5000) x1


Question: Which value of N(E_F) does entry 1 give?
Answer: 0.8256 states/eV/atom


Question: Among the records above, which one has the highest N(E_F)?
Answer: Ce2NdP2Rh7